Computed, not measured: Tb3Dy2Ho9 after structural relaxation at the PBE level of DFT.

a b c (Å): 6.4170 8.3448 8.7603
angles (deg): 87.47 82.18 70.92
Last column: nearest neighbours and their distance in Å.
Space group P1 (No. 1)
Inequivalent atoms, fractional coordinates:
Tb1 0.0000 0.0000 0.0000 [1 per cell]  1 Dy 3.20, 8 Ho 3.21-3.59
Tb2 0.1512 0.2071 0.3111 [1 per cell]  2 Dy 3.24-3.38, 4 Ho 3.35-3.57
Tb3 0.3240 0.5016 0.6622 [1 per cell]  7 Ho 3.23-3.62, 1 Dy 3.33
Dy1 0.6311 0.9160 0.2446 [1 per cell]  2 Tb 3.20-3.24, 1 Dy 3.23, 6 Ho 3.36-3.56
Dy2 0.7528 0.5686 0.4405 [1 per cell]  1 Dy 3.23, 2 Tb 3.33-3.38, 4 Ho 3.36-3.58
Ho1 0.0278 0.5563 0.0505 [1 per cell]  7 Ho 3.40-3.70, 2 Dy 3.56-3.61, 3 Tb 3.57-3.66
Ho2 0.1728 0.7643 0.3387 [1 per cell]  4 Ho 3.33-3.69, 3 Dy 3.49-3.58, 3 Tb 3.55-3.65
Ho3 0.3010 0.9402 0.6308 [1 per cell]  6 Ho 3.33-3.57, 3 Tb 3.50-3.61, 1 Dy 3.72
Ho4 0.4452 0.1512 0.9167 [1 per cell]  7 Ho 3.38-3.72, 4 Tb 3.46-3.68, 1 Dy 3.53
Ho5 0.4743 0.7068 0.9678 [1 per cell]  1 Tb 3.21, 7 Ho 3.21-3.57, 1 Dy 3.48
Ho6 0.6014 0.3535 0.1844 [1 per cell]  2 Dy 3.36-3.61, 5 Ho 3.36-3.74, 3 Tb 3.50-3.65
Ho7 0.7135 0.1409 0.5257 [1 per cell]  5 Ho 3.24-3.61, 2 Tb 3.35-3.36, 1 Dy 3.36
Ho8 0.8436 0.7916 0.7219 [1 per cell]  6 Ho 3.21-3.56, 2 Tb 3.23-3.49, 1 Dy 3.37
Ho9 0.8744 0.3531 0.7793 [1 per cell]  6 Ho 3.36-3.74, 3 Tb 3.38-3.62, 1 Dy 3.45

Raw total energy ... -0.1658 hartree per atom
Formation energy ... 0.08 eV per atom

=====

Computed, not measured: Tb3DyHo12 after structural relaxation at the PBE level of DFT.

a b c (Å): 4.9846 4.9846 19.9268
angles (deg): 90.00 90.00 90.00
Last column: nearest neighbours and their distance in Å.
Space group P4/mmm (No. 123)
Inequivalent atoms, fractional coordinates:
Tb1 0.0000 0.0000 0.0000 [1 per cell]  12 Ho 3.52
Tb2 0.0000 0.0000 0.2501 [2 per cell]  12 Ho 3.52
Dy1 0.0000 0.0000 0.5000 [1 per cell]  12 Ho 3.52
Ho1 0.0000 0.5000 0.1251 [4 per cell]  4 Tb 3.52, 8 Ho 3.52
Ho2 0.0000 0.5000 0.3752 [4 per cell]  2 Dy 3.52, 8 Ho 3.52, 2 Tb 3.52
Ho3 0.5000 0.5000 0.0000 [1 per cell]  4 Tb 3.52, 8 Ho 3.52
Ho4 0.5000 0.5000 0.2502 [2 per cell]  8 Ho 3.52, 4 Tb 3.52
Ho5 0.5000 0.5000 0.5000 [1 per cell]  8 Ho 3.52, 4 Dy 3.52

Raw total energy ... -0.1679 hartree per atom
Formation energy ... 0.02 eV per atom

=====

Computed, not measured: TbDy5Ho7 after structural relaxation at the PBE level of DFT.

a b c (Å): 6.6373 11.0285 11.4670
angles (deg): 90.00 90.00 90.00
Last column: nearest neighbours and their distance in Å.
Space group Imm2 (No. 44)
Inequivalent atoms, fractional coordinates:
Tb1 0.0000 0.0000 0.0000 [2 per cell]  7 Ho 3.51-3.86, 4 Dy 3.70
Dy1 0.0000 0.5000 0.8051 [2 per cell]  6 Ho 3.32-3.43, 4 Dy 3.38
Dy2 0.2319 0.2274 0.8045 [8 per cell]  3 Ho 3.07-3.43, 2 Dy 3.08-3.38
Ho1 0.0000 0.0000 0.3058 [2 per cell]  6 Dy 3.32-3.49, 1 Tb 3.51, 1 Ho 3.51
Ho2 0.0000 0.0000 0.6117 [2 per cell]  7 Ho 3.51-3.87, 4 Dy 3.68
Ho3 0.0000 0.3300 0.0549 [4 per cell]  4 Ho 3.42-3.76, 5 Dy 3.42-3.45, 1 Tb 3.69
Ho4 0.0000 0.3302 0.5544 [4 per cell]  5 Ho 3.43-3.76, 5 Dy 3.43-3.45
Ho5 0.0000 0.5000 0.3041 [2 per cell]  4 Dy 3.07, 4 Ho 3.42-3.43

Raw total energy ... -0.1593 hartree per atom
Formation energy ... 0.26 eV per atom

=====

Computed, not measured: Tb7Dy3Ho2 after structural relaxation at the PBE level of DFT.

a b c (Å): 6.1622 5.4973 11.9811
angles (deg): 90.00 91.66 90.00
Last column: nearest neighbours and their distance in Å.
Space group P2/m (No. 10)
Inequivalent atoms, fractional coordinates:
Tb1 0.0000 0.0000 0.0000 [1 per cell]  6 Tb 3.42-3.44
Tb2 0.0891 0.5000 0.1677 [2 per cell]  2 Ho 3.26-3.46, 3 Dy 3.28-3.55, 5 Tb 3.44-3.51
Tb3 0.2379 0.5000 0.4525 [2 per cell]  2 Ho 3.16-3.32, 3 Tb 3.18-3.51
Tb4 0.4395 0.0000 0.1807 [2 per cell]  2 Ho 3.16, 3 Tb 3.42-3.50, 2 Dy 3.53
Dy1 0.0551 0.0000 0.6616 [2 per cell]  2 Ho 3.49, 6 Tb 3.54-3.63
Dy2 0.5000 0.5000 0.0000 [1 per cell]  6 Tb 3.28-3.53, 2 Ho 3.39
Ho1 0.3869 0.5000 0.7212 [2 per cell]  6 Tb 3.16-3.46, 3 Dy 3.39-3.49

Raw total energy ... -0.1583 hartree per atom
Formation energy ... 0.31 eV per atom
E above lowest polymorph ... 196.9 meV per atom